VASP calculation (PBE+U) on NaTiCo2O after structural relaxation.

a b c (Å): 4.3216 5.1549 4.3216
angles (deg): 90.00 90.00 90.00
Last column: nearest neighbours and their distance in Å.
Positions (direct):
Co 0.0000 0.0000 0.5000  2 Na 2.16
Ti 0.0000 0.5000 0.0000  2 Na 2.58
Co 0.5000 0.0000 0.0000  2 Na 2.16
Na 0.0000 0.0000 0.0000  4 Co 2.16
O 0.5000 0.5000 0.5000  4 Ti 3.06, 8 Co 3.36

Properties
Calculated total energy (eV per atom): -2.950